First-principles (PBE) data for crystalline AgBiBr2 at its relaxed geometry, as listed in the Alexandria database.

Results
For the raw total energy, the calculation gives -10.27 eV/f.u. For the excess energy over the best structure of this formula in the dataset, the calculation gives 0.2292 eV per atom. The density of states at the Fermi level comes out at 0.25 states/eV per atom. Its space group is I-42d.

a b c (Å): 8.0309 8.0309 6.6796
angles (deg): 53.05 53.05 90.00
Closest atoms and distances in Å follow each position.
Sites, in units of the cell vectors:
Ag1 0.2500 0.7500 0.5000  4 Br 2.89
Ag2 0.5000 0.5000 0.0000  4 Br 2.89
Br1 0.6088 0.1250 0.2500  2 Ag 2.89, 2 Bi 3.06
Br2 0.3750 0.3912 0.7500  2 Ag 2.89, 2 Bi 3.06
Br3 0.1412 0.6250 0.2500  2 Ag 2.89, 2 Bi 3.06
Br4 0.8750 0.8588 0.7500  2 Ag 2.89, 2 Bi 3.06
Bi1 0.7500 0.2500 0.5000  4 Br 3.06
Bi2 0.0000 0.0000 0.0000  4 Br 3.06

First-principles (PBE) data for crystalline AgBiBr3 at its relaxed geometry, as listed in the Alexandria database.

Results
For the raw total energy, the calculation gives -12.27 eV/f.u. For the excess energy over the best structure of this formula in the dataset, the calculation gives 0.2896 eV per atom. The density of states at the Fermi level comes out at 0.81 states/eV per atom. Its space group is Pm-3m.

a b c (Å): 5.7826 5.7826 5.7826
angles (deg): 90.00 90.00 90.00
Closest atoms and distances in Å follow each position.
Sites, in units of the cell vectors:
Br1 0.0000 0.5000 0.0000  2 Bi 2.89
Br2 0.0000 0.0000 0.5000  2 Bi 2.89
Br3 0.5000 0.0000 0.0000  2 Bi 2.89
Bi1 0.0000 0.0000 0.0000  6 Br 2.89
Ag1 0.5000 0.5000 0.5000  12 Br 4.09

First-principles (PBE) data for crystalline Ag2BiBr at its relaxed geometry, as listed in the Alexandria database.

Results
For the raw total energy, the calculation gives -10.84 eV/f.u. For the excess energy over the best structure of this formula in the dataset, the calculation gives 0.0000 eV per atom. The density of states at the Fermi level comes out at 0.25 states/eV per atom. Its space group is I-42d.

a b c (Å): 7.2607 7.2607 6.8445
angles (deg): 57.97 57.97 90.00
Closest atoms and distances in Å follow each position.
Sites, in units of the cell vectors:
Br1 0.5000 0.5000 0.0000  4 Ag 2.77
Br2 0.2500 0.7500 0.5000  4 Ag 2.77
Ag1 0.6177 0.1250 0.2500  2 Br 2.77, 2 Bi 2.84
Ag2 0.1323 0.6250 0.2500  2 Br 2.77, 2 Bi 2.84
Ag3 0.8750 0.8677 0.7500  2 Br 2.77, 2 Bi 2.84
Ag4 0.3750 0.3823 0.7500  2 Br 2.77, 2 Bi 2.84
Bi1 0.7500 0.2500 0.5000  4 Ag 2.84
Bi2 0.0000 0.0000 0.0000  4 Ag 2.84

First-principles (PBE) data for crystalline AgBiBr4 at its relaxed geometry, as listed in the Alexandria database.

Results
For the raw total energy, the calculation gives -16.96 eV/f.u. Its space group is C2/m.

a b c (Å): 4.1825 8.0746 7.5593
angles (deg): 115.02 90.00 105.01
Closest atoms and distances in Å follow each position.
Sites, in units of the cell vectors:
Br1 0.8980 0.7960 0.5783  2 Ag 2.84, 1 Bi 2.87
Br2 0.3748 0.7495 0.0252  2 Bi 2.92, 1 Ag 3.25
Br3 0.6252 0.2505 0.9748  2 Bi 2.92, 1 Ag 3.25
Br4 0.1020 0.2040 0.4217  2 Ag 2.84, 1 Bi 2.87
Bi1 0.0000 0.0000 0.0000  6 Br 2.87-2.92
Ag1 0.5000 0.0000 0.5000  4 Br 2.84

First-principles (PBE) data for crystalline Ag3BiBr2Cl6 at its relaxed geometry, as listed in the Alexandria database.

Results
For the raw total energy, the calculation gives -33.02 eV/f.u. The density of states at the Fermi level comes out at 0.77 states/eV per atom. Its space group is C2/m.

a b c (Å): 6.1216 7.7799 7.9843
angles (deg): 119.16 93.55 90.00
Closest atoms and distances in Å follow each position.
Sites, in units of the cell vectors:
Ag1 0.5000 0.0000 0.5000  4 Cl 2.61-2.91, 2 Br 2.70
Ag2 0.0000 0.5000 0.0000  2 Br 2.67, 4 Cl 2.74
Ag3 0.5000 0.5000 0.5000  4 Cl 2.61-2.91, 2 Br 2.70
Cl1 0.7614 0.8340 0.1672  1 Bi 2.72, 2 Ag 2.74-2.91
Cl2 0.7241 0.8342 0.6684  2 Ag 2.61, 1 Bi 2.77
Cl3 0.7614 0.3332 0.1672  1 Bi 2.72, 2 Ag 2.74-2.91
Cl4 0.2386 0.1660 0.8328  1 Bi 2.72, 2 Ag 2.74-2.91
Cl5 0.2386 0.6668 0.8328  1 Bi 2.72, 2 Ag 2.74-2.91
Cl6 0.2759 0.1658 0.3316  2 Ag 2.61, 1 Bi 2.77
Bi1 0.5000 0.0000 0.0000  6 Cl 2.72-2.77
Br1 0.7498 0.3350 0.6699  3 Ag 2.67-2.70
Br2 0.2502 0.6650 0.3301  3 Ag 2.67-2.70

First-principles (PBE) data for crystalline CsAgBiBr6 at its relaxed geometry, as listed in the Alexandria database.

Results
For the raw total energy, the calculation gives -24.84 eV/f.u. The density of states at the Fermi level comes out at 0.33 states/eV per atom. Its space group is P1.

a b c (Å): 7.3409 7.3514 8.0192
angles (deg): 87.64 92.44 63.74
Closest atoms and distances in Å follow each position.
Sites, in units of the cell vectors:
Cs1 0.0162 0.0159 0.0007  6 Br 3.68-3.74
Ag1 0.3355 0.3355 0.5003  4 Br 2.64-2.66
Br1 0.9877 0.6337 0.7328  1 Bi 2.78
Br2 0.5953 0.3792 0.7133  1 Ag 2.64
Br3 0.0042 0.3734 0.3228  1 Ag 2.66, 1 Bi 2.93
Br4 0.3733 0.0047 0.6776  1 Ag 2.66, 1 Bi 2.93
Br5 0.3795 0.5939 0.2865  1 Ag 2.64
Br6 0.6316 0.9868 0.2658  1 Bi 2.78
Bi1 0.6764 0.6770 0.5001  6 Br 2.78-3.00

First-principles (PBE) data for crystalline InAgBiBr2 at its relaxed geometry, as listed in the Alexandria database.

Results
For the raw total energy, the calculation gives -11.55 eV/f.u. The density of states at the Fermi level comes out at 1.04 states/eV per atom. Its space group is P4/mmm.

a b c (Å): 5.6567 5.4846 5.6567
angles (deg): 90.00 90.00 90.00
Closest atoms and distances in Å follow each position.
Sites, in units of the cell vectors:
In1 0.0000 0.0000 0.0000  2 Ag 2.74, 4 Br 2.83
Ag1 0.0000 0.5000 0.0000  2 In 2.74
Bi1 0.5000 0.5000 0.5000  8 Br 3.94, 4 Ag 4.00
Br1 0.0000 0.0000 0.5000  2 In 2.83
Br2 0.5000 0.0000 0.0000  2 In 2.83

First-principles (PBE) data for crystalline KAg2BiBr6 at its relaxed geometry, as listed in the Alexandria database.

Results
For the raw total energy, the calculation gives -28.42 eV/f.u. The density of states at the Fermi level comes out at 0.00 states/eV per atom. Its space group is P1.

a b c (Å): 7.5303 7.5269 8.0557
angles (deg): 62.14 62.14 59.96
Closest atoms and distances in Å follow each position.
Sites, in units of the cell vectors:
Ag1 0.9998 0.0003 0.0000  6 Br 2.90-2.94
Ag2 0.5221 0.5216 0.4348  6 Br 2.83-3.09
Bi1 0.3259 0.3257 0.0224  6 Br 2.86-2.96
Br1 0.2515 0.9134 0.2372  2 Ag 2.83-2.94, 1 Bi 2.96
Br2 0.3509 0.7345 0.7544  1 Bi 2.86, 2 Ag 2.90-3.09
Br3 0.1601 0.3512 0.7543  1 Bi 2.86, 2 Ag 2.90-3.09
Br4 0.9137 0.5979 0.2371  2 Ag 2.83-2.94, 1 Bi 2.96
Br5 0.7346 0.1602 0.7539  1 Bi 2.86, 2 Ag 2.90-3.08
Br6 0.5981 0.2514 0.2369  2 Ag 2.83-2.94, 1 Bi 2.96
K1 0.8049 0.8052 0.5843  6 Br 3.26-3.41

First-principles (PBE) data for crystalline KAg2BiBr8 at its relaxed geometry, as listed in the Alexandria database.

Results
For the raw total energy, the calculation gives -30.43 eV/f.u. The density of states at the Fermi level comes out at 1.33 states/eV per atom. Its space group is I-4.

a b c (Å): 7.2171 7.2171 9.1775
angles (deg): 113.15 113.15 90.00
Closest atoms and distances in Å follow each position.
Sites, in units of the cell vectors:
Br1 0.3067 0.9579 0.3316  1 Ag 2.67
Br2 0.6264 0.6933 0.6684  1 Ag 2.67
Br3 0.7298 0.2658 0.8761  1 Ag 2.62
Br4 0.0421 0.9751 0.6684  1 Ag 2.67
Br5 0.7342 0.8537 0.1239  1 Ag 2.62
Br6 0.0249 0.3736 0.3316  1 Ag 2.67
Br7 0.3898 0.2702 0.1239  1 Ag 2.62
Br8 0.1463 0.6102 0.8761  1 Ag 2.62
Ag1 0.2500 0.7500 0.5000  4 Br 2.67
Ag2 0.5000 0.5000 0.0000  4 Br 2.62
K1 0.7500 0.2500 0.5000  8 Br 3.26-3.47
Bi1 0.0000 0.0000 0.0000  8 Br 2.96-3.11

First-principles (PBE) data for crystalline NaAgBiBr5 at its relaxed geometry, as listed in the Alexandria database.

Results
For the raw total energy, the calculation gives -23.01 eV/f.u. The density of states at the Fermi level comes out at 0.00 states/eV per atom. Its space group is C2/c.

a b c (Å): 8.0476 8.0476 10.5210
angles (deg): 100.43 100.43 117.69
Closest atoms and distances in Å follow each position.
Sites, in units of the cell vectors:
Br1 0.4211 0.2474 0.0483  1 Ag 2.76, 1 Bi 2.91, 1 Na 2.96
Br2 0.6488 0.9910 0.3650  1 Ag 2.70, 1 Bi 2.89, 1 Na 2.90
Br3 0.7526 0.5789 0.4517  1 Ag 2.76, 1 Bi 2.91, 1 Na 2.96
Br4 0.0090 0.3512 0.1350  1 Ag 2.70, 1 Bi 2.89, 1 Na 2.90
Br5 0.2474 0.4211 0.5483  1 Ag 2.76, 1 Bi 2.91, 1 Na 2.96
Br6 0.9910 0.6488 0.8650  1 Ag 2.70, 1 Bi 2.89, 1 Na 2.90
Br7 0.9095 0.0905 0.7500  2 Bi 2.91
Br8 0.3512 0.0090 0.6350  1 Ag 2.70, 1 Bi 2.89, 1 Na 2.90
Br9 0.5789 0.7526 0.9517  1 Ag 2.76, 1 Bi 2.91, 1 Na 2.96
Br10 0.0905 0.9095 0.2500  2 Bi 2.91
Ag1 0.7184 0.2816 0.2500  4 Br 2.70-2.76
Ag2 0.2816 0.7184 0.7500  4 Br 2.70-2.76
Na1 0.4346 0.5654 0.2500  4 Br 2.90-2.96
Na2 0.5654 0.4346 0.7500  4 Br 2.90-2.96
Bi1 0.0000 0.0000 0.5000  6 Br 2.89-2.91
Bi2 0.0000 0.0000 0.0000  6 Br 2.89-2.91

First-principles (PBE) data for crystalline NaAgBiBr2 at its relaxed geometry, as listed in the Alexandria database.

Results
For the raw total energy, the calculation gives -11.25 eV/f.u. The density of states at the Fermi level comes out at 0.57 states/eV per atom. Its space group is P4/mmm.

a b c (Å): 5.3519 5.8121 5.3519
angles (deg): 90.00 90.00 90.00
Closest atoms and distances in Å follow each position.
Sites, in units of the cell vectors:
Br1 0.0000 0.0000 0.5000  2 Ag 2.68
Br2 0.5000 0.0000 0.0000  2 Ag 2.68
Bi1 0.5000 0.5000 0.5000  4 Na 3.78, 8 Br 3.95
Na1 0.0000 0.5000 0.0000  2 Ag 2.91
Ag1 0.0000 0.0000 0.0000  4 Br 2.68, 2 Na 2.91

First-principles (PBE) data for crystalline NaAgBiBr6 at its relaxed geometry, as listed in the Alexandria database.

Results
For the raw total energy, the calculation gives -24.28 eV/f.u. The density of states at the Fermi level comes out at 0.91 states/eV per atom. Its space group is P4_2nm.

a b c (Å): 6.9035 6.9035 12.6844
angles (deg): 90.00 90.00 90.00
Closest atoms and distances in Å follow each position.
Sites, in units of the cell vectors:
Ag1 0.5000 0.5000 0.1654  6 Br 2.71-2.92
Ag2 0.0000 0.0000 0.6654  6 Br 2.71-2.92
Bi1 0.5000 0.5000 0.5055  6 Br 2.79-2.94
Bi2 0.0000 0.0000 0.0055  6 Br 2.79-2.94
Br1 0.6871 0.6871 0.3235  1 Ag 2.71, 1 Bi 2.94
Br2 0.1989 0.8011 0.5120  1 Ag 2.75, 1 Bi 2.94, 1 Na 2.98
Br3 0.7010 0.7010 0.6620  1 Bi 2.79, 1 Ag 2.92, 1 Na 2.93
Br4 0.2010 0.7990 0.1620  1 Bi 2.79, 1 Ag 2.92, 1 Na 2.93
Br5 0.8129 0.1871 0.8235  1 Ag 2.71, 1 Bi 2.94
Br6 0.7990 0.2010 0.1620  1 Bi 2.79, 1 Ag 2.92, 1 Na 2.93
Br7 0.8011 0.1989 0.5120  1 Ag 2.75, 1 Bi 2.94, 1 Na 2.98
Br8 0.3011 0.3011 0.0120  1 Ag 2.75, 1 Bi 2.94, 1 Na 2.98
Br9 0.1871 0.8129 0.8235  1 Ag 2.71, 1 Bi 2.94
Br10 0.6989 0.6989 0.0120  1 Ag 2.75, 1 Bi 2.94, 1 Na 2.98
Br11 0.2990 0.2990 0.6620  1 Bi 2.79, 1 Ag 2.92, 1 Na 2.93
Br12 0.3129 0.3129 0.3235  1 Ag 2.71, 1 Bi 2.94
Na1 0.5000 0.5000 0.8340  6 Br 2.93-3.06
Na2 0.0000 0.0000 0.3340  6 Br 2.93-3.06